Record 1
The following is a DFT calculation (PBEsol) of CaZnSiAg2 after structural relaxation.

Lattice parameters (Å, degrees): 4.7102 4.7102 5.2497 90.00 90.00 90.00
With the nearest neighbours (Å) after each atom.
Positions (direct):
1 Si 0.5000 0.5000 0.5000  4 Ca 3.33, 8 Ag 3.53
2 Ca 0.0000 0.0000 0.5000  2 Zn 2.62
3 Zn 0.0000 0.0000 0.0000  4 Ag 2.36, 2 Ca 2.62
4 Ag 0.5000 0.0000 0.0000  2 Zn 2.36
5 Ag 0.0000 0.5000 0.0000  2 Zn 2.36

Computed properties:
Total moment = 0.00 μB/cell
Formation energy without anion corrections = 0.52 eV/atom
Symmetry = P4/mmm
Calculated total energy = -2.70 eV/atom

Record 2
The following is a DFT calculation (PBEsol) of CaAgSn after structural relaxation.

Lattice parameters (Å, degrees): 4.7691 4.7691 10.7707 90.00 90.00 120.00
With the nearest neighbours (Å) after each atom.
Positions (direct):
1 Sn 0.6667 0.3333 0.0043  3 Ag 2.75
2 Sn 0.3333 0.6667 0.6530  3 Ag 2.79
3 Sn 0.3333 0.6667 0.3566  3 Ag 2.79
4 Ca 0.0000 0.0000 0.5049  6 Sn 3.18, 6 Ag 3.44
5 Ca 0.0000 0.0000 0.8369  6 Ag 3.14-3.30, 6 Sn 3.29-3.39
6 Ca 0.0000 0.0000 0.1727  6 Ag 3.15-3.29, 6 Sn 3.30-3.39
7 Ag 0.6667 0.3333 0.6964  3 Sn 2.79
8 Ag 0.6667 0.3333 0.3139  3 Sn 2.79
9 Ag 0.3333 0.6667 0.0053  3 Sn 2.75

Computed properties:
Energy relative to the elements = -0.5530 eV/atom
Total moment = 0.00 μB/cell
Symmetry = P3m1
Calculated total energy = -3.79 eV/atom

Record 3
The following is a DFT calculation (PBEsol) of CaZrAg2Sn after structural relaxation.

Lattice parameters (Å, degrees): 4.8603 4.8603 5.4438 90.00 90.00 90.00
With the nearest neighbours (Å) after each atom.
Positions (direct):
1 Sn 0.0000 0.0000 0.5000  2 Ca 2.72
2 Ag 0.0000 0.5000 0.0000  2 Ca 2.43
3 Ag 0.5000 0.0000 0.0000  2 Ca 2.43
4 Ca 0.0000 0.0000 0.0000  4 Ag 2.43
5 Zr 0.5000 0.5000 0.5000  4 Sn 3.44, 8 Ag 3.65

Computed properties:
Energy relative to the elements = 0.9541 eV/atom
Total moment = 0.00 μB/cell
Symmetry = P4/mmm
Calculated total energy = -3.47 eV/atom

Record 4
The following is a DFT calculation (PBEsol) of Sr2CaAg after structural relaxation.

Lattice parameters (Å, degrees): 3.8644 3.8645 9.8533 90.00 90.00 90.03
With the nearest neighbours (Å) after each atom.
Positions (direct):
1 Ag 0.0000 0.0000 0.4841  4 Ca 3.18, 4 Sr 3.36
2 Sr 0.0000 0.0000 0.0145  8 Sr 3.86-4.27, 4 Ca 4.06
3 Sr 0.5000 0.5000 0.6820  4 Ag 3.36, 1 Ca 3.57
4 Ca 0.5000 0.5000 0.3195  4 Ag 3.18

Computed properties:
Energy relative to the elements = -0.1171 eV/atom
E above lowest polymorph = 0 meV per atom
Total moment = 0.00 μB/cell
Symmetry = P4mm
Calculated total energy = -2.40 eV/atom

Record 5
The following is a DFT calculation (PBEsol) of SrCa2Ag2 after structural relaxation.

Lattice parameters (Å, degrees): 4.7958 4.7958 7.4128 108.87 108.87 90.00
With the nearest neighbours (Å) after each atom.
Positions (direct):
1 Ca 0.7500 0.2500 0.5000  4 Ag 3.08, 4 Ca 3.39
2 Ca 0.2500 0.7500 0.5000  4 Ag 3.08, 4 Ca 3.39
3 Ag 0.3971 0.3971 0.7941  1 Ag 2.71
4 Ag 0.6029 0.6029 0.2059  1 Ag 2.71
5 Sr 0.0000 0.0000 0.0000  8 Ag 3.65, 8 Ca 4.08

Computed properties:
Energy relative to the elements = -0.1732 eV/atom
E above lowest polymorph = 57 meV per atom
Total moment = 0.00 μB/cell
Symmetry = I4/mmm
Calculated total energy = -2.72 eV/atom

Record 6
The following is a DFT calculation (PBEsol) of SrCa2Ag after structural relaxation.

Lattice parameters (Å, degrees): 3.7962 3.7963 9.5315 90.00 90.00 90.05
With the nearest neighbours (Å) after each atom.
Positions (direct):
1 Ca 0.5000 0.5000 0.7652  8 Ca 3.80-3.89, 4 Sr 4.10
2 Ca 0.0000 0.0000 0.0608  4 Ag 3.15
3 Sr 0.0000 0.0000 0.4406  4 Ag 3.33, 1 Ca 3.62
4 Ag 0.5000 0.5000 0.2334  4 Ca 3.15, 4 Sr 3.33

Computed properties:
Energy relative to the elements = -0.1250 eV/atom
E above lowest polymorph = 4 meV per atom
Total moment = 0.00 μB/cell
Symmetry = P4mm
Calculated total energy = -2.48 eV/atom

Record 7
The following is a DFT calculation (PBEsol) of Sr3CaAg4 after structural relaxation.

Lattice parameters (Å, degrees): 4.6624 6.1834 24.0682 90.16 90.00 90.00
With the nearest neighbours (Å) after each atom.
Positions (direct):
1 Ag 0.0000 0.8673 0.9927  2 Ag 2.85, 2 Ca 3.19
2 Ag 0.5000 0.1203 0.0144  2 Ag 2.85, 1 Ca 3.20
3 Ag 0.5000 0.6175 0.6728  2 Ag 2.82
4 Ag 0.0000 0.6421 0.1524  2 Ag 2.82
5 Ag 0.5000 0.3608 0.8441  2 Ag 2.83
6 Ag 0.0000 0.6320 0.4897  2 Ag 2.89, 2 Ca 3.16, 1 Sr 3.20
7 Ag 0.5000 0.3681 0.5093  2 Ag 2.89, 2 Ca 3.16, 1 Sr 3.20
8 Ag 0.0000 0.8558 0.6479  2 Ag 2.82
9 Ag 0.0000 0.3823 0.3262  2 Ag 2.82
10 Ag 0.5000 0.8808 0.1774  2 Ag 2.82
11 Ag 0.5000 0.1442 0.3511  2 Ag 2.82
12 Ag 0.0000 0.1179 0.8210  2 Ag 2.83
13 Sr 0.5000 0.3930 0.2282  7 Ag 3.26-3.39
14 Sr 0.5000 0.6388 0.3961  7 Ag 3.20-3.31
15 Sr 0.5000 0.8697 0.8944  7 Ag 3.27-3.37
16 Sr 0.0000 0.3612 0.6028  7 Ag 3.20-3.31
17 Sr 0.0000 0.1357 0.1075  7 Ag 3.22-3.31
18 Sr 0.0000 0.6097 0.7708  7 Ag 3.27-3.36
19 Sr 0.0000 0.8936 0.2752  7 Ag 3.26-3.39
20 Sr 0.5000 0.1064 0.7234  7 Ag 3.26-3.39
21 Sr 0.0000 0.3654 0.9424  7 Ag 3.28-3.33
22 Ca 0.5000 0.8606 0.5563  7 Ag 3.16-3.34
23 Ca 0.0000 0.1394 0.4427  7 Ag 3.16-3.34
24 Ca 0.5000 0.6374 0.0613  7 Ag 3.17-3.39

Computed properties:
Energy relative to the elements = -0.2777 eV/atom
Total moment = 0.00 μB/cell
Symmetry = Pm
Calculated total energy = -2.89 eV/atom

Record 8
The following is a DFT calculation (PBEsol) of Sr2CaAg after structural relaxation.

Lattice parameters (Å, degrees): 3.9328 6.0011 7.2269 114.53 105.79 90.00
With the nearest neighbours (Å) after each atom.
Positions (direct):
1 Sr 0.9988 0.4988 0.9976  4 Ag 3.59, 2 Ca 3.85, 4 Sr 3.87-3.93
2 Sr 0.8043 0.8043 0.6085  2 Ag 3.21
3 Ag 0.5064 0.0064 0.0127  2 Ca 3.03, 2 Sr 3.21
4 Ca 0.1906 0.1906 0.3812  2 Ag 3.03

Computed properties:
Energy relative to the elements = -0.0810 eV/atom
E above lowest polymorph = 36 meV per atom
Total moment = 0.00 μB/cell
Symmetry = Imm2
Calculated total energy = -2.36 eV/atom

Record 9
The following is a DFT calculation (PBEsol) of Sr2CaAg after structural relaxation.

Lattice parameters (Å, degrees): 3.8863 3.8862 9.7743 90.00 90.00 90.09
With the nearest neighbours (Å) after each atom.
Positions (direct):
1 Ca 0.5000 0.5000 0.0000  4 Ca 3.89, 8 Sr 4.08
2 Sr 0.0000 0.0000 0.6910  4 Ag 3.32
3 Sr 0.0000 0.0000 0.3090  4 Ag 3.32
4 Ag 0.5000 0.5000 0.5000  8 Sr 3.32

Computed properties:
Energy relative to the elements = -0.1102 eV/atom
E above lowest polymorph = 7 meV per atom
Total moment = 0.00 μB/cell
Symmetry = Cmmm
Calculated total energy = -2.39 eV/atom

Record 10
The following is a DFT calculation (PBEsol) of SrCa3Ag after structural relaxation.

Lattice parameters (Å, degrees): 5.8173 5.8173 5.8173 90.00 90.00 90.00
With the nearest neighbours (Å) after each atom.
Positions (direct):
1 Ca 0.0000 0.5000 0.0000  2 Ag 2.91
2 Ca 0.5000 0.0000 0.0000  2 Ag 2.91
3 Ca 0.0000 0.0000 0.5000  2 Ag 2.91
4 Sr 0.5000 0.5000 0.5000  12 Ca 4.11
5 Ag 0.0000 0.0000 0.0000  6 Ca 2.91

Computed properties:
Energy relative to the elements = -0.0696 eV/atom
Total moment = 0.00 μB/cell
Symmetry = Pm-3m
Calculated total energy = -2.38 eV/atom

Record 11
The following is a DFT calculation (PBEsol) of SrCaAg4 after structural relaxation.

Lattice parameters (Å, degrees): 5.7247 5.7247 5.7247 60.00 60.00 60.00
With the nearest neighbours (Å) after each atom.
Positions (direct):
1 Ag 0.8735 0.3755 0.3755  6 Ag 2.85-2.87
2 Ag 0.3755 0.8735 0.3755  6 Ag 2.85-2.87
3 Ag 0.3755 0.3755 0.3755  6 Ag 2.85-2.87
4 Ag 0.3755 0.3755 0.8735  6 Ag 2.85-2.87
5 Sr 0.0000 0.0000 0.0000  12 Ag 3.36, 4 Ca 3.51
6 Ca 0.7500 0.7500 0.7500  12 Ag 3.36, 4 Sr 3.51

Computed properties:
Energy relative to the elements = -0.2300 eV/atom
Total moment = 0.00 μB/cell
Symmetry = F-43m
Calculated total energy = -3.10 eV/atom

Record 12
The following is a DFT calculation (PBEsol) of SrCa2Ag after structural relaxation.

Lattice parameters (Å, degrees): 3.8329 5.8675 7.0543 114.57 105.76 90.00
With the nearest neighbours (Å) after each atom.
Positions (direct):
1 Ca 0.6955 0.6955 0.3909  2 Ag 3.07
2 Ca 0.3045 0.3045 0.6091  2 Ag 3.07
3 Ag 0.0000 0.5000 0.0000  4 Ca 3.07
4 Sr 0.5000 0.0000 0.0000  4 Ag 3.50, 4 Ca 3.79, 2 Sr 3.83

Computed properties:
Energy relative to the elements = -0.1079 eV/atom
E above lowest polymorph = 21 meV per atom
Total moment = 0.00 μB/cell
Symmetry = Immm
Calculated total energy = -2.46 eV/atom

Record 13
The following is a DFT calculation (PBEsol) of SrCa2Ag2 after structural relaxation.

Lattice parameters (Å, degrees): 5.4217 5.4217 6.7390 113.72 113.72 90.00
With the nearest neighbours (Å) after each atom.
Positions (direct):
1 Ca 0.3438 0.3438 0.6876  4 Ag 2.90
2 Ca 0.6562 0.6562 0.3124  4 Ag 2.90
3 Ag 0.7500 0.2500 0.5000  4 Ca 2.90
4 Ag 0.2500 0.7500 0.5000  4 Ca 2.90
5 Sr 0.0000 0.0000 0.0000  10 Ca 3.81-4.21, 8 Ag 3.88

Computed properties:
Energy relative to the elements = -0.0196 eV/atom
E above lowest polymorph = 210 meV per atom
Total moment = 0.00 μB/cell
Symmetry = I4/mmm
Calculated total energy = -2.57 eV/atom

Record 14
The following is a DFT calculation (PBEsol) of Sr2CaAg after structural relaxation.

Lattice parameters (Å, degrees): 4.2238 4.5787 8.4435 105.73 90.00 90.00
With the nearest neighbours (Å) after each atom.
Positions (direct):
1 Ca 0.5000 0.7056 0.4112  2 Ag 3.11
2 Ag 0.0000 0.8459 0.6919  2 Ca 3.11, 5 Sr 3.21-3.36
3 Sr 0.5000 0.3937 0.7874  4 Ag 3.21
4 Sr 0.0000 0.0528 0.1055  1 Ag 3.36

Computed properties:
Energy relative to the elements = -0.0732 eV/atom
E above lowest polymorph = 44 meV per atom
Total moment = 0.00 μB/cell
Symmetry = Amm2
Calculated total energy = -2.35 eV/atom

Record 15
The following is a DFT calculation (PBEsol) of SrCa2Ag2 after structural relaxation.

Lattice parameters (Å, degrees): 4.2385 8.2861 8.2861 90.00 90.00 90.00
With the nearest neighbours (Å) after each atom.
Positions (direct):
1 Ca 0.5000 0.3394 0.1606  6 Ag 3.18-3.30
2 Ca 0.5000 0.1606 0.6606  6 Ag 3.18-3.30
3 Ca 0.5000 0.6606 0.8394  6 Ag 3.18-3.30
4 Ca 0.5000 0.8394 0.3394  6 Ag 3.18-3.30
5 Sr 0.0000 0.0000 0.0000  4 Ag 3.28
6 Sr 0.0000 0.5000 0.5000  4 Ag 3.28
7 Ag 0.0000 0.3767 0.8767  1 Ag 2.89, 4 Ca 3.18
8 Ag 0.0000 0.8767 0.6233  1 Ag 2.89, 4 Ca 3.18
9 Ag 0.0000 0.6233 0.1233  1 Ag 2.89, 4 Ca 3.18
10 Ag 0.0000 0.1233 0.3767  1 Ag 2.89, 4 Ca 3.18

Computed properties:
Energy relative to the elements = -0.2297 eV/atom
E above lowest polymorph = 0 meV per atom
Total moment = 0.00 μB/cell
Symmetry = P4/mbm
Calculated total energy = -2.78 eV/atom

Record 16
The following is a DFT calculation (PBEsol) of SrCa2Ag after structural relaxation.

Lattice parameters (Å, degrees): 3.7696 3.7696 9.6463 90.00 90.00 90.00
With the nearest neighbours (Å) after each atom.
Positions (direct):
1 Sr 0.5000 0.5000 0.0000  4 Sr 3.77, 8 Ca 4.08
2 Ca 0.0000 0.0000 0.3203  4 Ag 3.18, 1 Ca 3.47
3 Ca 0.0000 0.0000 0.6797  4 Ag 3.18, 1 Ca 3.47
4 Ag 0.5000 0.5000 0.5000  8 Ca 3.18

Computed properties:
Energy relative to the elements = -0.1290 eV/atom
E above lowest polymorph = 0 meV per atom
Total moment = 0.00 μB/cell
Symmetry = P4/mmm
Calculated total energy = -2.48 eV/atom

Record 17
The following is a DFT calculation (PBEsol) of CaTa2Ag after structural relaxation.

Lattice parameters (Å, degrees): 2.8297 2.8297 9.7366 90.00 90.00 90.00
With the nearest neighbours (Å) after each atom.
Positions (direct):
1 Ag 0.5000 0.5000 0.0000  4 Ag 2.83, 8 Ta 2.92
2 Ta 0.0000 0.0000 0.7813  4 Ta 2.83, 4 Ag 2.92
3 Ta 0.0000 0.0000 0.2187  4 Ta 2.83, 4 Ag 2.92
4 Ca 0.5000 0.5000 0.5000  4 Ca 2.83

Computed properties:
Energy relative to the elements = 0.6273 eV/atom
E above lowest polymorph = 95 meV per atom
Total moment = 0.00 μB/cell
Symmetry = P4/mmm
Calculated total energy = -7.01 eV/atom

Record 18
The following is a DFT calculation (PBEsol) of Ca4TaAg after structural relaxation.

Lattice parameters (Å, degrees): 6.2477 6.2477 6.2477 60.00 60.00 60.00
With the nearest neighbours (Å) after each atom.
Positions (direct):
1 Ca 0.8740 0.3753 0.3753  6 Ca 3.12-3.13
2 Ca 0.3753 0.3753 0.3753  6 Ca 3.12-3.13
3 Ca 0.3753 0.3753 0.8740  6 Ca 3.12-3.13
4 Ca 0.3753 0.8740 0.3753  6 Ca 3.12-3.13
5 Ag 0.0000 0.0000 0.0000  12 Ca 3.66, 4 Ta 3.83
6 Ta 0.7500 0.7500 0.7500  12 Ca 3.66, 4 Ag 3.83

Computed properties:
Energy relative to the elements = 1.0143 eV/atom
Total moment = 4.80 μB/cell
Symmetry = F-43m
Calculated total energy = -3.05 eV/atom

Record 19
The following is a DFT calculation (PBEsol) of CaTa2Ag after structural relaxation.

Lattice parameters (Å, degrees): 2.8656 5.1319 6.0303 113.01 100.12 98.37
With the nearest neighbours (Å) after each atom.
Positions (direct):
1 Ta 0.0000 0.0000 0.5000  4 Ta 2.75-2.87
2 Ta 0.5000 0.5000 0.5000  4 Ta 2.75-2.87
3 Ag 0.0000 0.5000 0.0000  2 Ca 2.75, 2 Ag 2.87
4 Ca 0.5000 0.0000 0.0000  2 Ag 2.75, 2 Ca 2.87

Computed properties:
Energy relative to the elements = 0.5328 eV/atom
E above lowest polymorph = 0 meV per atom
Total moment = 0.00 μB/cell
Symmetry = C2/m
Calculated total energy = -7.10 eV/atom

Record 20
The following is a DFT calculation (PBEsol) of CaTa2TcAg after structural relaxation.

Lattice parameters (Å, degrees): 4.8804 4.8804 4.9522 90.00 90.00 90.00
With the nearest neighbours (Å) after each atom.
Positions (direct):
1 Ta 0.5000 0.0000 0.0000  2 Ag 2.44
2 Ta 0.0000 0.5000 0.0000  2 Ag 2.44
3 Tc 0.5000 0.5000 0.5000  4 Ca 3.45, 8 Ta 3.48
4 Ca 0.0000 0.0000 0.5000  2 Ag 2.48
5 Ag 0.0000 0.0000 0.0000  4 Ta 2.44, 2 Ca 2.48

Computed properties:
Energy relative to the elements = 2.0596 eV/atom
Total moment = 1.38 μB/cell
Symmetry = P4/mmm
Calculated total energy = -6.30 eV/atom